No. 1
# YSBrCl2 (PBE, optimized geometry)
# E: -4.2516 eV/atom
# Total moment: 2.0 Bohr magnetons per cell
# Formation energy without anion corrections: -1060 meV per atom
# Energy relative to the lowest polymorph listed for this composition: 0.0 kJ/mol of formula units
data_YSBrCl2
_chemical_formula_sum 'Y1 S1 Br1 Cl2'
_cell_length_a 5.208
_cell_length_b 5.208
_cell_length_c 5.639
_cell_angle_alpha 90.00
_cell_angle_beta 90.00
_cell_angle_gamma 90.00
_symmetry_space_group_name_H-M 'P 4/m m m'
_symmetry_Int_Tables_number 123
_symmetry_space_group_name_Hall '-P 4 2'
loop_
_atom_site_label
_atom_site_fract_x
_atom_site_fract_y
_atom_site_fract_z
Y1 0.000 0.000 0.000
S1 0.000 0.000 0.500
Br1 0.500 0.500 0.500
Cl1 0.000 0.500 0.000

No. 2
# YS2BrCl (PBE, optimized geometry)
# E: -3.6284 eV/atom
# Total moment: 0.0 Bohr magnetons per cell
# Formation energy without anion corrections: 19 meV per atom
# Energy relative to the lowest polymorph listed for this composition: 294.3 kJ/mol of formula units
data_YS2BrCl
_chemical_formula_sum 'Y1 S2 Br1 Cl1'
_cell_length_a 5.085
_cell_length_b 5.085
_cell_length_c 4.802
_cell_angle_alpha 90.00
_cell_angle_beta 90.00
_cell_angle_gamma 90.00
_symmetry_space_group_name_H-M 'P 4/m m m'
_symmetry_Int_Tables_number 123
_symmetry_space_group_name_Hall '-P 4 2'
loop_
_atom_site_label
_atom_site_fract_x
_atom_site_fract_y
_atom_site_fract_z
Y1 0.000 0.000 0.000
S1 0.000 0.500 0.500
Br1 0.500 0.500 0.500
Cl1 0.500 0.500 0.000

No. 3
# ZrS2BrCl (PBE, optimized geometry)
# E: -4.6495 eV/atom
# Total moment: 1.4 Bohr magnetons per cell
# Formation energy without anion corrections: -585 meV per atom
# Energy relative to the lowest polymorph listed for this composition: 0.0 kJ/mol of formula units
data_ZrS2BrCl
_chemical_formula_sum 'Zr1 S2 Br1 Cl1'
_cell_length_a 5.051
_cell_length_b 5.051
_cell_length_c 5.035
_cell_angle_alpha 90.00
_cell_angle_beta 90.00
_cell_angle_gamma 90.00
_symmetry_space_group_name_H-M 'P 4/m m m'
_symmetry_Int_Tables_number 123
_symmetry_space_group_name_Hall '-P 4 2'
loop_
_atom_site_label
_atom_site_fract_x
_atom_site_fract_y
_atom_site_fract_z
Zr1 0.000 0.000 0.000
S1 0.000 0.500 0.000
Br1 0.500 0.500 0.500
Cl1 0.000 0.000 0.500

No. 4
# ZrS2BrCl (PBE, optimized geometry)
# E: -3.3601 eV/atom
# Total moment: 1.2 Bohr magnetons per cell
# Formation energy without anion corrections: 704 meV per atom
# Energy relative to the lowest polymorph listed for this composition: 622.1 kJ/mol of formula units
data_ZrS2BrCl
_chemical_formula_sum 'Zr1 S2 Br1 Cl1'
_cell_length_a 4.990
_cell_length_b 4.990
_cell_length_c 4.797
_cell_angle_alpha 90.00
_cell_angle_beta 90.00
_cell_angle_gamma 90.00
_symmetry_space_group_name_H-M 'P 4/m m m'
_symmetry_Int_Tables_number 123
_symmetry_space_group_name_Hall '-P 4 2'
loop_
_atom_site_label
_atom_site_fract_x
_atom_site_fract_y
_atom_site_fract_z
Zr1 0.000 0.000 0.000
S1 0.000 0.500 0.500
Br1 0.500 0.500 0.500
Cl1 0.500 0.500 0.000